Entry A
Here is a PBEsol-optimized structure of BaMg4 from Alexandria via LeMat-Bulk. Energies are from SCAN.

CIF file:
```
data_BaMg4
_chemical_formula_sum 'Ba8 Mg32'
_cell_length_a 10.661
_cell_length_b 10.661
_cell_length_c 10.661
_cell_angle_alpha 90.00
_cell_angle_beta 90.00
_cell_angle_gamma 90.00
_symmetry_space_group_name_H-M 'I -4 3 m'
_symmetry_Int_Tables_number 217
_symmetry_space_group_name_Hall 'I -4 2 3'
loop_
_atom_site_label
_atom_site_type_symbol
_atom_site_fract_x
_atom_site_fract_y
_atom_site_fract_z
_atom_site_occupancy
Ba1 Ba 0.214 0.214 0.214 1
Mg1 Mg 0.000 0.000 0.356 1
Mg2 Mg 0.000 0.250 0.500 1
Mg3 Mg 0.103 0.103 0.897 1
```

***

Entry B
Here is a PBEsol-optimized structure of BaMg4 from Alexandria via LeMat-Bulk. Energies are from SCAN.

CIF file:
```
data_BaMg4
_chemical_formula_sum 'Ba2 Mg8'
_cell_length_a 7.268
_cell_length_b 7.268
_cell_length_c 5.512
_cell_angle_alpha 90.00
_cell_angle_beta 90.00
_cell_angle_gamma 90.00
_symmetry_space_group_name_H-M 'I 4/m m m'
_symmetry_Int_Tables_number 139
_symmetry_space_group_name_Hall '-I 4 2'
loop_
_atom_site_label
_atom_site_type_symbol
_atom_site_fract_x
_atom_site_fract_y
_atom_site_fract_z
_atom_site_occupancy
Ba1 Ba 0.000 0.000 0.000 1
Mg1 Mg 0.000 0.302 0.500 1
```

***

Entry C
Here is a PBEsol-optimized structure of BaMg4 from Alexandria via LeMat-Bulk. Energies are from SCAN.

CIF file:
```
data_BaMg4
_chemical_formula_sum 'Ba2 Mg8'
_cell_length_a 7.706
_cell_length_b 7.706
_cell_length_c 7.706
_cell_angle_alpha 90.00
_cell_angle_beta 90.00
_cell_angle_gamma 90.00
_symmetry_space_group_name_H-M 'I m -3 m'
_symmetry_Int_Tables_number 229
_symmetry_space_group_name_Hall '-I 4 2 3'
loop_
_atom_site_label
_atom_site_type_symbol
_atom_site_fract_x
_atom_site_fract_y
_atom_site_fract_z
_atom_site_occupancy
Ba1 Ba 0.000 0.000 0.000 1
Mg1 Mg 0.250 0.250 0.250 1
```

***

Entry D
Here is a PBEsol-optimized structure of BaMg4 from Alexandria via LeMat-Bulk. Energies are from SCAN.

CIF file:
```
data_BaMg4
_chemical_formula_sum 'Ba2 Mg8'
_cell_length_a 4.789
_cell_length_b 4.789
_cell_length_c 13.542
_cell_angle_alpha 90.00
_cell_angle_beta 90.00
_cell_angle_gamma 90.00
_symmetry_space_group_name_H-M 'I 4/m m m'
_symmetry_Int_Tables_number 139
_symmetry_space_group_name_Hall '-I 4 2'
loop_
_atom_site_label
_atom_site_type_symbol
_atom_site_fract_x
_atom_site_fract_y
_atom_site_fract_z
_atom_site_occupancy
Ba1 Ba 0.000 0.000 0.000 1
Mg1 Mg 0.000 0.000 0.389 1
Mg2 Mg 0.000 0.500 0.250 1
```

***

Which structure is most stable? entry B, by 2.0 kJ/mol of atoms over the runner-up.

***

Entry A
Here is a PBEsol-optimized structure of Ba4Mg3 from Alexandria via LeMat-Bulk. Energies are from SCAN.

CIF file:
```
data_Ba4Mg3
_chemical_formula_sum 'Ba8 Mg6'
_cell_length_a 4.229
_cell_length_b 4.229
_cell_length_c 33.581
_cell_angle_alpha 90.00
_cell_angle_beta 90.00
_cell_angle_gamma 90.00
_symmetry_space_group_name_H-M 'I 4/m m m'
_symmetry_Int_Tables_number 139
_symmetry_space_group_name_Hall '-I 4 2'
loop_
_atom_site_label
_atom_site_type_symbol
_atom_site_fract_x
_atom_site_fract_y
_atom_site_fract_z
_atom_site_occupancy
Ba1 Ba 0.000 0.000 0.064 1
Ba2 Ba 0.000 0.000 0.336 1
Mg1 Mg 0.000 0.000 0.229 1
Mg2 Mg 0.000 0.000 0.500 1
```

***

Entry B
Here is a PBEsol-optimized structure of Ba4Mg3 from Alexandria via LeMat-Bulk. Energies are from SCAN.

CIF file:
```
data_Ba4Mg3
_chemical_formula_sum 'Ba4 Mg3'
_cell_length_a 6.7364
_cell_length_b 6.7364
_cell_length_c 7.2546
_cell_angle_alpha 90.00
_cell_angle_beta 90.00
_cell_angle_gamma 120.00
_symmetry_space_group_name_H-M 'P 6/m m m'
_symmetry_Int_Tables_number 191
_symmetry_space_group_name_Hall '-P 6 2'
loop_
_atom_site_label
_atom_site_type_symbol
_atom_site_fract_x
_atom_site_fract_y
_atom_site_fract_z
_atom_site_occupancy
Ba1 Ba 0.0000 0.0000 0.2424 1
Ba2 Ba 0.3333 0.6667 0.5000 1
Mg1 Mg 0.0000 0.5000 0.0000 1
```

***

Which structure is most stable? entry A, by 5.0 kJ/mol of atoms over the runner-up.

***

Entry A
Here is a PBEsol-optimized structure of BaMgMn2 from Alexandria via LeMat-Bulk. Energies are from SCAN.

CIF file:
```
data_BaMgMn2
_chemical_formula_sum 'Ba2 Mg2 Mn4'
_cell_length_a 9.280
_cell_length_b 3.180
_cell_length_c 6.692
_cell_angle_alpha 90.00
_cell_angle_beta 97.69
_cell_angle_gamma 90.00
_symmetry_space_group_name_H-M 'C 1 2/m 1'
_symmetry_Int_Tables_number 12
loop_
_symmetry_equiv_pos_as_xyz
'x,y,z'
'-x,-y,-z'
'-x,y,-z'
'x,-y,z'
'x+1/2,y+1/2,z'
'-x+1/2,-y+1/2,-z'
'-x+1/2,y+1/2,-z'
'x+1/2,-y+1/2,z'
loop_
_atom_site_label
_atom_site_type_symbol
_atom_site_fract_x
_atom_site_fract_y
_atom_site_fract_z
_atom_site_occupancy
Ba1 Ba 0.000 0.000 0.000 1
Mg1 Mg 0.000 0.500 0.500 1
Mn1 Mn 0.239 0.000 0.652 1
```

***

Entry B
Here is a PBEsol-optimized structure of BaMgMn2 from Alexandria via LeMat-Bulk. Energies are from SCAN.

CIF file:
```
data_BaMgMn2
_chemical_formula_sum 'Ba4 Mg4 Mn8'
_cell_length_a 7.311
_cell_length_b 7.311
_cell_length_c 7.311
_cell_angle_alpha 90.00
_cell_angle_beta 90.00
_cell_angle_gamma 90.00
_symmetry_space_group_name_H-M 'F -4 3 m'
_symmetry_Int_Tables_number 216
_symmetry_space_group_name_Hall 'F -4 2 3'
loop_
_atom_site_label
_atom_site_type_symbol
_atom_site_fract_x
_atom_site_fract_y
_atom_site_fract_z
_atom_site_occupancy
Ba1 Ba 0.000 0.000 0.000 1
Mg1 Mg 0.250 0.250 0.750 1
Mn1 Mn 0.000 0.000 0.500 1
Mn2 Mn 0.250 0.250 0.250 1
```

***

Which structure is most stable? entry A, by 6.2 kJ/mol of atoms over the runner-up.

***

Entry A
Here is a PBEsol-optimized structure of Ba2MgP from Alexandria via LeMat-Bulk. Energies are from SCAN.

CIF file:
```
data_Ba2MgP
_chemical_formula_sum 'Ba4 Mg2 P2'
_cell_length_a 5.208
_cell_length_b 5.625
_cell_length_c 9.405
_cell_angle_alpha 90.00
_cell_angle_beta 90.00
_cell_angle_gamma 90.00
_symmetry_space_group_name_H-M 'C m m 2'
_symmetry_Int_Tables_number 35
loop_
_symmetry_equiv_pos_as_xyz
'x,y,z'
'-x,-y,z'
'-x,y,z'
'x,-y,z'
'x+1/2,y+1/2,z'
'-x+1/2,-y+1/2,z'
'-x+1/2,y+1/2,z'
'x+1/2,-y+1/2,z'
loop_
_atom_site_label
_atom_site_type_symbol
_atom_site_fract_x
_atom_site_fract_y
_atom_site_fract_z
_atom_site_occupancy
Ba1 Ba 0.000 0.000 0.000 1
Ba2 Ba 0.000 0.500 0.425 1
Mg1 Mg 0.000 0.500 0.749 1
P1 P 0.000 0.000 0.633 1
```

***

Entry B
Here is a PBEsol-optimized structure of Ba2MgP from Alexandria via LeMat-Bulk. Energies are from SCAN.

CIF file:
```
data_Ba2MgP
_chemical_formula_sum 'Ba2 Mg1 P1'
_cell_length_a 4.316
_cell_length_b 4.316
_cell_length_c 6.807
_cell_angle_alpha 90.00
_cell_angle_beta 90.00
_cell_angle_gamma 90.00
_symmetry_space_group_name_H-M 'P 4 m m'
_symmetry_Int_Tables_number 99
loop_
_symmetry_equiv_pos_as_xyz
'x,y,z'
'-y,x,z'
'-x,-y,z'
'y,-x,z'
'-x,y,z'
'y,x,z'
'x,-y,z'
'-y,-x,z'
loop_
_atom_site_label
_atom_site_type_symbol
_atom_site_fract_x
_atom_site_fract_y
_atom_site_fract_z
_atom_site_occupancy
Ba1 Ba 0.000 0.000 0.000 1
Ba2 Ba 0.500 0.500 0.328 1
Mg1 Mg 0.000 0.000 0.559 1
P1 P 0.500 0.500 0.805 1
```

***

Which structure is most stable? entry A, by 11.4 kJ/mol of atoms over the runner-up.

***

Entry A
Here is a PBEsol-optimized structure of Ba2MgRu from Alexandria via LeMat-Bulk. Energies are from SCAN.

CIF file:
```
data_Ba2MgRu
_chemical_formula_sum 'Ba4 Mg2 Ru2'
_cell_length_a 4.669
_cell_length_b 4.762
_cell_length_c 11.799
_cell_angle_alpha 90.00
_cell_angle_beta 90.00
_cell_angle_gamma 90.00
_symmetry_space_group_name_H-M 'A m m 2'
_symmetry_Int_Tables_number 38
loop_
_symmetry_equiv_pos_as_xyz
'x,y,z'
'-x,-y,z'
'-x,y,z'
'x,-y,z'
'x,y+1/2,z+1/2'
'-x,-y+1/2,z+1/2'
'-x,y+1/2,z+1/2'
'x,-y+1/2,z+1/2'
loop_
_atom_site_label
_atom_site_type_symbol
_atom_site_fract_x
_atom_site_fract_y
_atom_site_fract_z
_atom_site_occupancy
Ba1 Ba 0.000 0.000 0.000 1
Ba2 Ba 0.500 0.000 0.283 1
Mg1 Mg 0.000 0.000 0.692 1
Ru1 Ru 0.500 0.000 0.596 1
```

***

Entry B
Here is a PBEsol-optimized structure of Ba2MgRu from Alexandria via LeMat-Bulk. Energies are from SCAN.

CIF file:
```
data_Ba2MgRu
_chemical_formula_sum 'Ba4 Mg2 Ru2'
_cell_length_a 3.646
_cell_length_b 5.641
_cell_length_c 11.825
_cell_angle_alpha 90.00
_cell_angle_beta 90.00
_cell_angle_gamma 90.00
_symmetry_space_group_name_H-M 'I m m 2'
_symmetry_Int_Tables_number 44
loop_
_symmetry_equiv_pos_as_xyz
'x,y,z'
'-x,-y,z'
'-x,y,z'
'x,-y,z'
'x+1/2,y+1/2,z+1/2'
'-x+1/2,-y+1/2,z+1/2'
'-x+1/2,y+1/2,z+1/2'
'x+1/2,-y+1/2,z+1/2'
loop_
_atom_site_label
_atom_site_type_symbol
_atom_site_fract_x
_atom_site_fract_y
_atom_site_fract_z
_atom_site_occupancy
Ba1 Ba 0.000 0.000 0.000 1
Ba2 Ba 0.000 0.500 0.189 1
Mg1 Mg 0.000 0.500 0.820 1
Ru1 Ru 0.000 0.000 0.483 1
```

***

Which structure is most stable? entry A, by 0.7 kJ/mol of atoms over the runner-up.

***

Entry A
Here is a PBEsol-optimized structure of BaMg2Sc from Alexandria via LeMat-Bulk. Energies are from SCAN.

CIF file:
```
data_BaMg2Sc
_chemical_formula_sum 'Ba2 Mg4 Sc2'
_cell_length_a 5.529
_cell_length_b 5.529
_cell_length_c 7.800
_cell_angle_alpha 90.00
_cell_angle_beta 90.00
_cell_angle_gamma 90.00
_symmetry_space_group_name_H-M 'I 4/m m m'
_symmetry_Int_Tables_number 139
_symmetry_space_group_name_Hall '-I 4 2'
loop_
_atom_site_label
_atom_site_type_symbol
_atom_site_fract_x
_atom_site_fract_y
_atom_site_fract_z
_atom_site_occupancy
Ba1 Ba 0.000 0.000 0.000 1
Mg1 Mg 0.000 0.500 0.250 1
Sc1 Sc 0.000 0.000 0.500 1
```

***

Entry B
Here is a PBEsol-optimized structure of BaMg2Sc from Alexandria via LeMat-Bulk. Energies are from SCAN.

CIF file:
```
data_BaMg2Sc
_chemical_formula_sum 'Ba1 Mg2 Sc1'
_cell_length_a 3.748
_cell_length_b 3.748
_cell_length_c 8.434
_cell_angle_alpha 90.00
_cell_angle_beta 90.00
_cell_angle_gamma 90.00
_symmetry_space_group_name_H-M 'P 4/m m m'
_symmetry_Int_Tables_number 123
_symmetry_space_group_name_Hall '-P 4 2'
loop_
_atom_site_label
_atom_site_type_symbol
_atom_site_fract_x
_atom_site_fract_y
_atom_site_fract_z
_atom_site_occupancy
Ba1 Ba 0.000 0.000 0.000 1
Mg1 Mg 0.500 0.500 0.305 1
Sc1 Sc 0.000 0.000 0.500 1
```

***

Which structure is most stable? entry B, by 13.7 kJ/mol of atoms over the runner-up.